This record from the Open Quantum Materials Database describes a relaxed Cd2Mo8C3N3 crystal. The functional is PBE.

Values from the calculation:
symmetry = P-3m1
total DFT energy (no corrections) = -140.0 eV/cell

a b c (Å): 3.108 3.108 24.092
angles (deg): 90.00 90.00 120.00
Fractional positions:
Mo 0.000 0.000 0.852
Mo 0.333 0.667 0.952
Mo 0.333 0.667 0.555
Mo 0.000 0.000 0.351
Mo 0.667 0.333 0.445
Mo 0.667 0.333 0.048
Mo 0.000 0.000 0.649
Mo 0.000 0.000 0.148
C 0.667 0.333 0.608
C 0.333 0.667 0.392
C 0.000 0.000 0.500
N 0.000 0.000 0.000
N 0.667 0.333 0.898
N 0.333 0.667 0.102
Cd 0.333 0.667 0.751
Cd 0.667 0.333 0.249


This record from the Open Quantum Materials Database describes a relaxed CdNiMo4C2 crystal. The functional is PBE.

Values from the calculation:
symmetry = P-6m2
total DFT energy (no corrections) = -67.7 eV/cell

a b c (Å): 3.075 3.075 13.366
angles (deg): 90.00 90.00 120.00
Fractional positions:
Cd 0.333 0.667 0.500
Ni 0.667 0.333 0.000
Mo 0.667 0.333 0.684
Mo 0.667 0.333 0.316
Mo 0.333 0.667 0.145
Mo 0.333 0.667 0.855
C 0.000 0.000 0.768
C 0.000 0.000 0.232


This record from the Open Quantum Materials Database describes a relaxed CdMo4PbC2 crystal. The functional is PBE.

Values from the calculation:
symmetry = P-6m2
total DFT energy (no corrections) = -65.2 eV/cell

a b c (Å): 3.157 3.157 14.094
angles (deg): 90.00 90.00 120.00
Fractional positions:
Mo 0.333 0.667 0.329
Mo 0.000 0.000 0.172
Mo 0.333 0.667 0.671
Mo 0.000 0.000 0.828
Pb 0.333 0.667 0.000
C 0.667 0.333 0.251
C 0.667 0.333 0.749
Cd 0.000 0.000 0.500


This record from the Open Quantum Materials Database describes a relaxed CdMo4C2S crystal. The functional is PBE.

Values from the calculation:
symmetry = P-6m2
total DFT energy (no corrections) = -67.1 eV/cell

a b c (Å): 3.134 3.134 13.056
angles (deg): 90.00 90.00 120.00
Fractional positions:
C 0.667 0.333 0.268
C 0.667 0.333 0.732
Mo 0.000 0.000 0.359
Mo 0.333 0.667 0.812
Mo 0.333 0.667 0.188
Mo 0.000 0.000 0.641
S 0.333 0.667 0.500
Cd 0.000 0.000 0.000


This record from the Open Quantum Materials Database describes a relaxed Sc4Cd3Mo2C3 crystal. The functional is PBE.

Values from the calculation:
symmetry = C2/c
total DFT energy (no corrections) = -163.9 eV/cell

a b c (Å): 5.614 5.614 15.149
angles (deg): 101.77 101.77 60.48
Fractional positions:
C 0.500 0.000 0.500
C 0.341 0.817 0.000
C 0.817 0.341 0.500
C 0.659 0.183 0.000
C 0.000 0.500 0.000
C 0.183 0.659 0.500
Sc 0.185 0.044 0.587
Sc 0.956 0.815 0.913
Sc 0.815 0.956 0.413
Sc 0.303 0.122 0.913
Sc 0.044 0.185 0.087
Sc 0.122 0.303 0.413
Sc 0.878 0.697 0.587
Sc 0.697 0.878 0.087
Cd 0.874 0.126 0.750
Cd 0.716 0.579 0.247
Cd 0.579 0.716 0.747
Cd 0.126 0.874 0.250
Cd 0.421 0.284 0.253
Cd 0.284 0.421 0.753
Mo 0.476 0.653 0.433
Mo 0.653 0.476 0.933
Mo 0.524 0.347 0.567
Mo 0.347 0.524 0.067


This record from the Open Quantum Materials Database describes a relaxed CdSnMo4C2 crystal. The functional is PBE.

Values from the calculation:
symmetry = P-6m2
total DFT energy (no corrections) = -66.3 eV/cell

a b c (Å): 3.137 3.137 13.920
angles (deg): 90.00 90.00 120.00
Fractional positions:
Mo 0.000 0.000 0.335
Mo 0.333 0.667 0.826
Mo 0.000 0.000 0.665
Mo 0.333 0.667 0.174
C 0.667 0.333 0.748
C 0.667 0.333 0.252
Cd 0.000 0.000 0.000
Sn 0.333 0.667 0.500


This record from the Open Quantum Materials Database describes a relaxed Ta2Cd3Mo4C3 crystal. The functional is PBE.

Values from the calculation:
symmetry = C2/c
total DFT energy (no corrections) = -196.9 eV/cell

a b c (Å): 5.401 5.401 14.687
angles (deg): 100.57 100.57 60.04
Fractional positions:
C 0.000 0.500 0.000
C 0.336 0.828 0.000
C 0.664 0.172 0.000
C 0.172 0.664 0.500
C 0.828 0.336 0.500
C 0.500 0.000 0.500
Mo 0.812 0.970 0.423
Mo 0.030 0.188 0.077
Mo 0.864 0.693 0.577
Mo 0.307 0.136 0.923
Mo 0.970 0.812 0.923
Mo 0.188 0.030 0.577
Mo 0.136 0.307 0.423
Mo 0.693 0.864 0.077
Ta 0.473 0.642 0.416
Ta 0.527 0.358 0.584
Ta 0.358 0.527 0.084
Ta 0.642 0.473 0.916
Cd 0.581 0.768 0.749
Cd 0.932 0.068 0.750
Cd 0.419 0.232 0.251
Cd 0.768 0.581 0.249
Cd 0.068 0.932 0.250
Cd 0.232 0.419 0.751


This record from the Open Quantum Materials Database describes a relaxed TlCdMo4C2 crystal. The functional is PBE.

Values from the calculation:
symmetry = P-6m2
total DFT energy (no corrections) = -64.1 eV/cell

a b c (Å): 3.119 3.119 14.239
angles (deg): 90.00 90.00 120.00
Fractional positions:
Tl 0.667 0.333 0.000
C 0.000 0.000 0.749
C 0.000 0.000 0.251
Mo 0.667 0.333 0.330
Mo 0.333 0.667 0.829
Mo 0.667 0.333 0.670
Mo 0.333 0.667 0.171
Cd 0.333 0.667 0.500


This record from the Open Quantum Materials Database describes a relaxed Cd3Mo2W4C3 crystal. The functional is PBE.

Values from the calculation:
symmetry = C2/c
total DFT energy (no corrections) = -203.6 eV/cell

a b c (Å): 5.307 5.307 14.783
angles (deg): 100.35 100.35 60.01
Fractional positions:
W 0.306 0.144 0.920
W 0.977 0.803 0.920
W 0.803 0.977 0.420
W 0.856 0.694 0.580
W 0.023 0.197 0.080
W 0.144 0.306 0.420
W 0.197 0.023 0.580
W 0.694 0.856 0.080
C 0.837 0.332 0.500
C 0.500 0.000 0.500
C 0.000 0.500 0.000
C 0.163 0.668 0.500
C 0.668 0.163 0.000
C 0.332 0.837 0.000
Mo 0.364 0.527 0.081
Mo 0.527 0.364 0.581
Mo 0.636 0.473 0.919
Mo 0.473 0.636 0.419
Cd 0.418 0.247 0.249
Cd 0.916 0.084 0.750
Cd 0.247 0.418 0.749
Cd 0.084 0.916 0.250
Cd 0.753 0.582 0.251
Cd 0.582 0.753 0.751


This record from the Open Quantum Materials Database describes a relaxed Cd3Mo4W2C3 crystal. The functional is PBE.

Values from the calculation:
symmetry = C2/c
total DFT energy (no corrections) = -196.6 eV/cell

a b c (Å): 5.326 5.326 14.716
angles (deg): 100.46 100.46 60.01
Fractional positions:
Cd 0.248 0.421 0.751
Cd 0.579 0.752 0.749
Cd 0.912 0.088 0.750
Cd 0.088 0.912 0.250
Cd 0.752 0.579 0.249
Cd 0.421 0.248 0.251
C 0.665 0.170 0.000
C 0.830 0.335 0.500
C 0.500 0.000 0.500
C 0.170 0.665 0.500
C 0.000 0.500 0.000
C 0.335 0.830 0.000
Mo 0.694 0.864 0.080
Mo 0.810 0.969 0.420
Mo 0.969 0.810 0.920
Mo 0.306 0.136 0.920
Mo 0.136 0.306 0.420
Mo 0.031 0.190 0.080
Mo 0.864 0.694 0.580
Mo 0.190 0.031 0.580
W 0.357 0.526 0.079
W 0.526 0.357 0.579
W 0.474 0.643 0.421
W 0.643 0.474 0.921


This record from the Open Quantum Materials Database describes a relaxed Zr4Cd3Mo2C3 crystal. The functional is PBE.

Values from the calculation:
symmetry = C2/c
total DFT energy (no corrections) = -181.9 eV/cell

a b c (Å): 5.647 5.647 15.090
angles (deg): 100.92 100.92 60.12
Fractional positions:
C 0.500 0.000 0.500
C 0.000 0.500 0.000
C 0.825 0.337 0.500
C 0.175 0.663 0.500
C 0.337 0.825 0.000
C 0.663 0.175 0.000
Cd 0.876 0.124 0.750
Cd 0.419 0.286 0.252
Cd 0.714 0.581 0.248
Cd 0.581 0.714 0.748
Cd 0.124 0.876 0.250
Cd 0.286 0.419 0.752
Mo 0.522 0.348 0.568
Mo 0.348 0.522 0.068
Mo 0.652 0.478 0.932
Mo 0.478 0.652 0.432
Zr 0.190 0.038 0.589
Zr 0.038 0.190 0.089
Zr 0.129 0.303 0.411
Zr 0.303 0.129 0.911
Zr 0.871 0.697 0.589
Zr 0.962 0.810 0.911
Zr 0.810 0.962 0.411
Zr 0.697 0.871 0.089


This record from the Open Quantum Materials Database describes a relaxed Nb3CdCN crystal. The functional is PBE.

Values from the calculation:
symmetry = P-3m1
total DFT energy (no corrections) = -103.5 eV/cell

a b c (Å): 3.156 3.156 19.819
angles (deg): 90.00 90.00 120.00
Fractional positions:
Nb 0.333 0.667 0.874
Nb 0.667 0.333 0.375
Nb 0.000 0.000 0.500
Nb 0.333 0.667 0.625
Nb 0.000 0.000 0.000
Nb 0.667 0.333 0.126
N 0.333 0.667 0.435
N 0.667 0.333 0.565
Cd 0.000 0.000 0.251
Cd 0.000 0.000 0.749
C 0.667 0.333 0.932
C 0.333 0.667 0.068


Which of these has the highest total DFT energy (no corrections)? TlCdMo4C2


The lowest total DFT energy (no corrections) belongs to which entry? Cd3Mo2W4C3